Version P
Here is an optimized crystal structure of Ti2Cd2Co from Alexandria. Energies are from PBE-GGA. Values from VASP.

Geometry as Quantum ESPRESSO input:
```
&SYSTEM
  ibrav = 0, nat = 10, ntyp = 3
/
ATOMIC_SPECIES
Ti 47.87 Ti.upf
Cd 112.41 Cd.upf
Co 58.93 Co.upf
ATOMIC_POSITIONS crystal
Ti 0.844 0.656 0.000
Cd 0.835 0.335 0.500
Ti 0.656 0.156 0.000
Cd 0.665 0.835 0.500
Ti 0.344 0.844 0.000
Co 0.500 0.500 0.000
Cd 0.165 0.665 0.500
Co 0.000 0.000 0.000
Ti 0.156 0.344 0.000
Cd 0.335 0.165 0.500
CELL_PARAMETERS angstrom
-2.703 -5.496 0.355
5.499 -2.716 -0.173
0.249 0.193 4.880
```

Version Q
Here is an optimized crystal structure of Ti2Cd2Co from Alexandria. Energies are from PBE-GGA. Values from VASP.

Geometry as Quantum ESPRESSO input:
```
&SYSTEM
  ibrav = 0, nat = 5, ntyp = 3
/
ATOMIC_SPECIES
Ti 47.87 Ti.upf
Cd 112.41 Cd.upf
Co 58.93 Co.upf
ATOMIC_POSITIONS crystal
Ti 0.578 0.578 0.843
Ti 0.422 0.422 0.157
Cd 0.750 0.250 0.500
Co 0.000 0.000 0.000
Cd 0.250 0.750 0.500
CELL_PARAMETERS angstrom
-1.197 0.750 -3.435
3.399 -0.684 -1.334
-0.654 -6.917 -3.291
```

version P has the most favorable energy; the next structure is 379 meV per atom above.

Version P
Here is an optimized crystal structure of TlCd2Co from Alexandria. Energies are from PBE-GGA. Values from VASP.

Geometry as Quantum ESPRESSO input:
```
&SYSTEM
  ibrav = 0, nat = 8, ntyp = 3
/
ATOMIC_SPECIES
Cd 112.41 Cd.upf
Tl 204.38 Tl.upf
Co 58.93 Co.upf
ATOMIC_POSITIONS crystal
Cd 0.148 0.625 0.250
Cd 0.602 0.125 0.250
Tl 0.750 0.250 0.500
Cd 0.375 0.398 0.750
Co 0.250 0.750 0.500
Cd 0.875 0.852 0.750
Co 0.500 0.500 0.000
Tl 0.000 0.000 0.000
CELL_PARAMETERS angstrom
-3.027 -0.993 2.625
2.446 -2.826 1.752
3.110 5.109 8.764
```

Version Q
Here is an optimized crystal structure of TlCd2Co from Alexandria. Energies are from PBE-GGA. Values from VASP.

Geometry as Quantum ESPRESSO input:
```
&SYSTEM
  ibrav = 0, nat = 4, ntyp = 3
/
ATOMIC_SPECIES
Tl 204.38 Tl.upf
Cd 112.41 Cd.upf
Co 58.93 Co.upf
ATOMIC_POSITIONS crystal
Tl 0.750 0.750 0.750
Cd 0.000 0.000 0.000
Cd 0.250 0.250 0.250
Co 0.500 0.500 0.500
CELL_PARAMETERS angstrom
-3.193 -2.598 -2.464
1.344 -2.292 -3.995
0.313 -4.788 -0.029
```

version Q has the most favorable energy; the next structure is 45 meV per atom above.

Version P
Here is an optimized crystal structure of TlCd2Co from Alexandria. Energies are from PBE-GGA. Values from VASP.

Geometry as Quantum ESPRESSO input:
```
&SYSTEM
  ibrav = 0, nat = 4, ntyp = 3
/
ATOMIC_SPECIES
Co 58.93 Co.upf
Tl 204.38 Tl.upf
Cd 112.41 Cd.upf
ATOMIC_POSITIONS crystal
Co 0.000 0.000 0.000
Tl 0.500 0.500 0.500
Cd 0.750 0.750 0.750
Cd 0.250 0.250 0.250
CELL_PARAMETERS angstrom
0.000 3.444 3.444
3.444 0.000 3.444
3.444 3.444 0.000
```

Version Q
Here is an optimized crystal structure of TlCd2Co from Alexandria. Energies are from PBE-GGA. Values from VASP.

Geometry as Quantum ESPRESSO input:
```
&SYSTEM
  ibrav = 0, nat = 4, ntyp = 3
/
ATOMIC_SPECIES
Co 58.93 Co.upf
Tl 204.38 Tl.upf
Cd 112.41 Cd.upf
ATOMIC_POSITIONS crystal
Co 0.250 0.750 0.500
Tl 0.750 0.250 0.500
Cd 0.000 0.000 0.000
Cd 0.500 0.500 0.000
CELL_PARAMETERS angstrom
5.466 0.032 0.000
2.401 4.910 0.000
-3.933 -2.471 2.881
```

Version R
Here is an optimized crystal structure of TlCd2Co from Alexandria. Energies are from PBE-GGA. Values from VASP.

Geometry as Quantum ESPRESSO input:
```
&SYSTEM
  ibrav = 0, nat = 4, ntyp = 3
/
ATOMIC_SPECIES
Tl 204.38 Tl.upf
Cd 112.41 Cd.upf
Co 58.93 Co.upf
ATOMIC_POSITIONS crystal
Tl 0.500 0.500 0.700
Cd 0.500 0.500 0.293
Co 0.000 0.000 0.491
Cd 0.000 0.000 0.016
CELL_PARAMETERS angstrom
3.175 0.000 0.000
0.000 3.175 0.000
0.000 0.000 8.014
```

version R has the most favorable energy; the next structure is 49 meV per atom above.